[1]
Entry from Alexandria: a relaxed structure of Be2SiAu (GGA-PBE).

Cell: 4.039 3.051 4.613 Å, 107.80 90.00 90.00°
Fractional positions:
Be 0.000 0.959 0.029
Be 0.500 0.099 0.297
Si 0.000 0.639 0.421
Au 0.500 0.804 0.754

E_form (uncorrected)   0.088 eV/atom
Size of the total moment   0.00 μB/f.u.



[2]
Entry from Alexandria: a relaxed structure of La14PrNd (GGA-PBE).

Cell: 7.244 7.244 12.293 Å, 90.00 90.00 63.69°
Fractional positions:
La 0.310 0.690 0.500
La 0.837 0.163 0.500
La 0.884 0.634 0.000
La 0.863 0.622 0.500
La 0.366 0.116 0.000
La 0.378 0.137 0.500
La 0.672 0.834 0.749
La 0.672 0.834 0.251
La 0.166 0.328 0.749
La 0.166 0.328 0.251
La 0.128 0.872 0.760
La 0.128 0.872 0.240
La 0.623 0.377 0.741
La 0.623 0.377 0.259
Pr 0.357 0.643 0.000
Nd 0.827 0.173 0.000

ΔE_f   0.082 eV per atom
Size of the total moment   0.00 μB/f.u.



[3]
Entry from Alexandria: a relaxed structure of SmDy4Y3 (GGA-PBE).

Cell: 6.303 7.298 11.304 Å, 90.00 90.00 90.00°
Fractional positions:
Sm 0.146 0.373 0.000
Sm 0.646 0.627 0.500
Dy 0.149 0.877 0.000
Dy 0.650 0.124 0.000
Dy 0.980 0.124 0.251
Dy 0.480 0.876 0.249
Dy 0.150 0.876 0.500
Dy 0.649 0.123 0.500
Dy 0.480 0.876 0.751
Dy 0.980 0.124 0.749
Y 0.646 0.626 0.000
Y 0.982 0.626 0.250
Y 0.482 0.374 0.250
Y 0.146 0.374 0.500
Y 0.482 0.374 0.750
Y 0.982 0.626 0.750

ΔE_f   0.007 eV per atom
Size of the total moment   0.00 μB/f.u.
E above lowest polymorph   0.0 kJ/mol of atoms



[4]
Entry from Alexandria: a relaxed structure of KSc4Te6 (GGA-PBE).

Cell: 4.231 7.308 22.212 Å, 90.00 90.00 106.83°
Fractional positions:
K 0.664 0.328 0.250
K 0.336 0.672 0.750
Sc 0.864 0.727 0.538
Sc 0.410 0.819 0.129
Sc 0.136 0.273 0.462
Sc 0.590 0.181 0.871
Sc 0.864 0.727 0.962
Sc 0.136 0.273 0.038
Sc 0.590 0.181 0.629
Sc 0.410 0.819 0.371
Te 0.500 0.000 0.000
Te 0.500 0.000 0.500
Te 0.044 0.089 0.347
Te 0.956 0.911 0.653
Te 0.956 0.911 0.847
Te 0.044 0.089 0.153
Te 0.772 0.544 0.418
Te 0.228 0.456 0.582
Te 0.228 0.456 0.918
Te 0.772 0.544 0.082
Te 0.355 0.709 0.250
Te 0.645 0.291 0.750

E_form (uncorrected)   -1.174 eV/atom
Size of the total moment   0.00 μB/f.u.



[5]
Entry from Alexandria: a relaxed structure of Nd2Be3PdPt12 (GGA-PBE).

Cell: 7.582 7.582 7.582 Å, 63.90 63.90 63.90°
Fractional positions:
Nd 0.608 0.608 0.608
Nd 0.392 0.392 0.392
Be 0.500 0.000 0.000
Be 0.000 0.500 0.000
Be 0.000 0.000 0.500
Pd 0.000 0.000 0.000
Pt 0.350 0.350 0.899
Pt 0.867 0.867 0.392
Pt 0.392 0.867 0.867
Pt 0.899 0.350 0.350
Pt 0.867 0.392 0.867
Pt 0.350 0.899 0.350
Pt 0.650 0.650 0.101
Pt 0.133 0.133 0.608
Pt 0.608 0.133 0.133
Pt 0.101 0.650 0.650
Pt 0.133 0.608 0.133
Pt 0.650 0.101 0.650

ΔE_f   -0.310 eV per atom
Size of the total moment   0.00 μB/f.u.



[6]
Entry from Alexandria: a relaxed structure of Ta3BeFe (GGA-PBE).

Cell: 4.335 4.335 4.335 Å, 90.00 90.00 90.00°
Fractional positions:
Be 0.000 0.000 0.000
Fe 0.500 0.500 0.500
Ta 0.000 0.500 0.000
Ta 0.000 0.000 0.500
Ta 0.500 0.000 0.000

ΔE_f   0.842 eV per atom
Size of the total moment   0.00 μB/f.u.
E above lowest polymorph   0.0 kJ/mol of atoms



[7]
Entry from Alexandria: a relaxed structure of Ca2InW (GGA-PBE).

Cell: 4.883 3.092 7.039 Å, 64.36 90.00 90.00°
Fractional positions:
Ca 0.000 0.011 0.988
Ca 0.000 0.489 0.512
W 0.500 0.750 0.750
In 0.500 0.250 0.250

ΔE_f   0.565 eV per atom
Size of the total moment   0.00 μB/f.u.



[8]
Entry from Alexandria: a relaxed structure of Th4Al12Ag (GGA-PBE).

Cell: 7.748 7.748 7.748 Å, 109.47 109.47 109.47°
Fractional positions:
Th 0.000 0.000 0.500
Th 0.500 0.000 0.000
Th 0.500 0.500 0.500
Th 0.000 0.500 0.000
Al 0.000 0.312 0.312
Al 0.000 0.688 0.688
Al 0.688 0.688 0.000
Al 0.312 0.312 0.000
Al 0.312 0.000 0.312
Al 0.688 0.000 0.688
Al 0.500 0.250 0.750
Al 0.500 0.750 0.250
Al 0.750 0.250 0.500
Al 0.250 0.750 0.500
Al 0.750 0.500 0.250
Al 0.250 0.500 0.750
Ag 0.000 0.000 0.000

ΔE_f   -0.357 eV per atom
Size of the total moment   0.00 μB/f.u.



What did the fourth record say?
Entry from Alexandria: a relaxed structure of KSc4Te6 (GGA-PBE).

Cell: 4.231 7.308 22.212 Å, 90.00 90.00 106.83°
Fractional positions:
K 0.664 0.328 0.250
K 0.336 0.672 0.750
Sc 0.864 0.727 0.538
Sc 0.410 0.819 0.129
Sc 0.136 0.273 0.462
Sc 0.590 0.181 0.871
Sc 0.864 0.727 0.962
Sc 0.136 0.273 0.038
Sc 0.590 0.181 0.629
Sc 0.410 0.819 0.371
Te 0.500 0.000 0.000
Te 0.500 0.000 0.500
Te 0.044 0.089 0.347
Te 0.956 0.911 0.653
Te 0.956 0.911 0.847
Te 0.044 0.089 0.153
Te 0.772 0.544 0.418
Te 0.228 0.456 0.582
Te 0.228 0.456 0.918
Te 0.772 0.544 0.082
Te 0.355 0.709 0.250
Te 0.645 0.291 0.750

E_form (uncorrected)   -1.174 eV/atom
Size of the total moment   0.00 μB/f.u.